An optimized crystal structure of TbYPu. Source: the Open Quantum Materials Database, functional PBE-GGA.

Computed properties:
* energy relative to the elements: 0.858 eV/atom
* space-group type: F-43m (216)

a = 5.411 Å, b = 5.411 Å, c = 5.411 Å
α = 60.00°, β = 60.00°, γ = 60.00°
Positions (direct):
1 Y 0.250 0.250 0.250
2 Tb 0.000 0.000 0.000
3 Pu 0.500 0.500 0.500

An optimized crystal structure of SrLaDy. Source: the Open Quantum Materials Database, functional PBE-GGA.

Computed properties:
* space-group type: F-43m (216)

a = 5.822 Å, b = 5.822 Å, c = 5.822 Å
α = 60.00°, β = 60.00°, γ = 60.00°
Positions (direct):
1 La 0.000 0.000 0.000
2 Sr 0.750 0.750 0.750
3 Dy 0.250 0.250 0.250

An optimized crystal structure of FeBr4. Source: the Open Quantum Materials Database, functional PBE-GGA.

Computed properties:
* space-group type: Fdd2 (43)

a = 7.474 Å, b = 6.937 Å, c = 8.807 Å
α = 55.14°, β = 49.61°, γ = 75.24°
Positions (direct):
1 Br 0.185 0.257 0.472
2 Br 0.778 0.730 0.565
3 Br 0.257 0.185 0.085
4 Br 0.685 0.322 0.472
5 Br 0.165 0.778 0.993
6 Br 0.730 0.778 0.928
7 Br 0.778 0.165 0.065
8 Br 0.322 0.685 0.520
9 Fe 0.010 0.010 0.490
10 Fe 0.760 0.760 0.240

An optimized crystal structure of Dy2Sc2CIBr4. Source: the Open Quantum Materials Database, functional PBE-GGA.

Computed properties:
* energy above the lowest structure with this stoichiometry: 0.026 eV/atom
* space-group type: C2/m (12)

a = 8.978 Å, b = 8.978 Å, c = 8.094 Å
α = 103.40°, β = 103.40°, γ = 24.24°
Positions (direct):
1 Br 0.834 0.834 0.173
2 Br 0.160 0.160 0.340
3 Br 0.166 0.166 0.827
4 Br 0.840 0.840 0.660
5 Dy 0.638 0.638 0.073
6 Dy 0.362 0.362 0.927
7 Sc 0.000 0.000 0.183
8 Sc 0.000 0.000 0.817
9 C 0.500 0.500 0.000
10 I 0.500 0.500 0.500

no.,electronic total energy (eV for the cell shown)
1,-22.646
2,-8.689
3,-32.430
4,-52.545